! Ce2DyTh2 | the Alexandria database | GGA-PBE | optimized geometry; values from VASP
&SYSTEM
  ibrav = 0, nat = 5, ntyp = 3
/
ATOMIC_SPECIES
Ce 140.12 Ce.upf
Th 232.04 Th.upf
Dy 162.50 Dy.upf
ATOMIC_POSITIONS crystal
Ce 0.199 0.199 0.403
Th 0.402 0.402 0.793
Dy 0.000 0.000 0.000
Th 0.598 0.598 0.207
Ce 0.801 0.801 0.597
CELL_PARAMETERS angstrom
-2.668 1.800 -1.375
-3.182 -0.214 1.441
1.123 11.514 8.443
! ΔH_f (0 K) = 0.1 eV per formula unit
! Calculated volume = 30.1 Å³ per atom
! E = -31.17 eV for the cell shown
! Symmetry = R-3m (166)